(1)
ZnCr2Hg: PBEsol geometry, SCAN.

Properties
As for the formation energy: 0.076 eV per atom. The calculation puts the total DFT energy (no corrections) at -118.15 eV for the cell shown.

a = 3.7758 Å, b = 3.7926 Å, c = 4.1769 Å
α = 90.00°, β = 90.00°, γ = 90.00°
Last column: nearest neighbours and their distance in Å.
Atoms (fractional coordinates):
Cr 0.0000 0.0000 0.0000  4 Cr 2.68, 4 Hg 2.82, 4 Zn 2.82
Cr 0.5000 0.5000 0.0000  4 Cr 2.68, 4 Zn 2.82, 4 Hg 2.82
Hg 0.5000 0.0000 0.5000  4 Zn 2.68, 8 Cr 2.82
Zn 0.0000 0.5000 0.5000  4 Hg 2.68, 8 Cr 2.82

=====

(2)
LaInBr2: PBEsol geometry, SCAN.

Properties
The calculation puts the total DFT energy (no corrections) at -120.12 eV for the cell shown. The uncorrected formation energy comes out at -1.178 eV/atom.

a = 3.9577 Å, b = 4.7077 Å, c = 5.8244 Å
α = 90.00°, β = 90.00°, γ = 90.00°
Last column: nearest neighbours and their distance in Å.
Atoms (fractional coordinates):
In 0.5000 0.5000 0.0000  4 Br 3.08
Br 0.0000 0.0000 0.0000  4 In 3.08
Br 0.5000 0.0000 0.5000  4 La 3.08
La 0.0000 0.5000 0.5000  4 Br 3.08

=====

(3)
LaTl3Ir: PBEsol geometry, SCAN.

Properties
As for the formation energy: 0.022 eV per atom. The calculation puts the total DFT energy (no corrections) at -331.17 eV for the cell shown.

a = 5.1681 Å, b = 5.1681 Å, c = 5.1681 Å
α = 90.00°, β = 90.00°, γ = 90.00°
Last column: nearest neighbours and their distance in Å.
Atoms (fractional coordinates):
Tl 0.0000 0.5000 0.0000  2 Ir 2.58
Tl 0.0000 0.0000 0.5000  2 Ir 2.58
Tl 0.5000 0.0000 0.0000  2 Ir 2.58
Ir 0.0000 0.0000 0.0000  6 Tl 2.58
La 0.5000 0.5000 0.5000  12 Tl 3.65

=====

(4)
AlCuP2: PBEsol geometry, SCAN.

Properties
As for the formation energy: 0.290 eV per atom. The calculation puts the total DFT energy (no corrections) at -42.59 eV for the cell shown.

a = 2.9415 Å, b = 2.9415 Å, c = 6.8380 Å
α = 90.00°, β = 90.00°, γ = 106.04°
Last column: nearest neighbours and their distance in Å.
Atoms (fractional coordinates):
P 0.0000 0.0000 0.2403  2 Cu 2.41, 2 Al 2.51
P 0.0000 0.0000 0.7597  2 Cu 2.41, 2 Al 2.51
Al 0.5000 0.5000 0.5000  4 P 2.51
Cu 0.5000 0.5000 0.0000  4 P 2.41

=====

(5)
LiTm4Ge4: PBEsol geometry, SCAN.

Properties
As for the formation energy: -0.883 eV per atom. The calculation puts the total DFT energy (no corrections) at -1176.07 eV for the cell shown.

a = 6.9568 Å, b = 7.5212 Å, c = 14.2932 Å
α = 90.00°, β = 90.00°, γ = 90.00°
Last column: nearest neighbours and their distance in Å.
Atoms (fractional coordinates):
Li 0.8402 0.4769 0.7500  3 Ge 2.61-2.75
Li 0.1598 0.5231 0.2500  3 Ge 2.61-2.75
Li 0.6598 0.9769 0.2500  3 Ge 2.61-2.75
Li 0.3402 0.0231 0.7500  3 Ge 2.61-2.75
Tm 0.6714 0.8250 0.6280  6 Ge 2.78-2.96
Tm 0.3286 0.1750 0.3720  6 Ge 2.78-2.96
Tm 0.8286 0.3250 0.3720  6 Ge 2.78-2.96
Tm 0.3286 0.1750 0.1280  6 Ge 2.78-2.96
Tm 0.1714 0.6750 0.6280  6 Ge 2.78-2.96
Tm 0.6714 0.8250 0.8720  6 Ge 2.78-2.96
Tm 0.1714 0.6750 0.8720  6 Ge 2.78-2.96
Tm 0.8286 0.3250 0.1280  6 Ge 2.78-2.96
Tm 0.9868 0.8137 0.0963  6 Ge 2.89-3.04
Tm 0.0132 0.1863 0.9037  6 Ge 2.89-3.04
Tm 0.5132 0.3137 0.9037  6 Ge 2.89-3.04
Tm 0.0132 0.1863 0.5963  6 Ge 2.89-3.04
Tm 0.4868 0.6863 0.0963  6 Ge 2.89-3.04
Tm 0.9868 0.8137 0.4037  6 Ge 2.89-3.04
Tm 0.4868 0.6863 0.4037  6 Ge 2.89-3.04
Tm 0.5132 0.3137 0.5963  6 Ge 2.89-3.04
Ge 0.9836 0.9147 0.7500  1 Ge 2.52, 1 Li 2.61
Ge 0.0164 0.0853 0.2500  1 Ge 2.52, 1 Li 2.61
Ge 0.5164 0.4147 0.2500  1 Ge 2.52, 1 Li 2.61
Ge 0.4836 0.5853 0.7500  1 Ge 2.52, 1 Li 2.61
Ge 0.7146 0.1398 0.7500  1 Ge 2.52, 2 Li 2.68-2.75
Ge 0.2854 0.8602 0.2500  1 Ge 2.52, 2 Li 2.68-2.75
Ge 0.7854 0.6398 0.2500  1 Ge 2.52, 2 Li 2.68-2.75
Ge 0.2146 0.3602 0.7500  1 Ge 2.52, 2 Li 2.68-2.75
Ge 0.8314 0.5343 0.5371  1 Ge 2.63, 4 Tm 2.78-2.90
Ge 0.1686 0.4657 0.4629  1 Ge 2.63, 4 Tm 2.78-2.90
Ge 0.6686 0.0343 0.4629  1 Ge 2.63, 4 Tm 2.78-2.90
Ge 0.1686 0.4657 0.0371  1 Ge 2.63, 4 Tm 2.78-2.90
Ge 0.3314 0.9657 0.5371  1 Ge 2.63, 4 Tm 2.78-2.90
Ge 0.8314 0.5343 0.9629  1 Ge 2.63, 4 Tm 2.78-2.90
Ge 0.3314 0.9657 0.9629  1 Ge 2.63, 4 Tm 2.78-2.90
Ge 0.6686 0.0343 0.0371  1 Ge 2.63, 4 Tm 2.78-2.90

=====

(6)
IrOsRu2: PBEsol geometry, SCAN.

Properties
As for the formation energy: 0.035 eV per atom. The calculation puts the total DFT energy (no corrections) at -212.49 eV for the cell shown.

a = 2.6811 Å, b = 4.6524 Å, c = 4.6474 Å
α = 99.55°, β = 106.77°, γ = 90.00°
Last column: nearest neighbours and their distance in Å.
Atoms (fractional coordinates):
Ru 0.2489 0.2470 0.4978  6 Ru 2.66-2.71, 3 Os 2.67-2.68, 3 Ir 2.68-2.70
Ru 0.7511 0.7530 0.5022  6 Ru 2.66-2.71, 3 Os 2.67-2.68, 3 Ir 2.68-2.70
Ir 0.0000 0.5000 0.0000  2 Ir 2.68, 6 Ru 2.68-2.70, 4 Os 2.68
Os 0.5000 0.0000 0.0000  6 Ru 2.67-2.68, 2 Os 2.68, 4 Ir 2.68

=====

(7)
ThSi2Tc2: PBEsol geometry, SCAN.

Properties
The calculation puts the total DFT energy (no corrections) at -189.36 eV for the cell shown. The uncorrected formation energy comes out at -0.658 eV/atom.

a = 4.2023 Å, b = 4.2023 Å, c = 5.7413 Å
α = 111.47°, β = 111.47°, γ = 90.00°
Last column: nearest neighbours and their distance in Å.
Atoms (fractional coordinates):
Si 0.3713 0.3713 0.7426  4 Tc 2.42, 1 Si 2.53
Si 0.6287 0.6287 0.2574  4 Tc 2.42, 1 Si 2.53
Tc 0.7500 0.2500 0.5000  4 Si 2.42
Tc 0.2500 0.7500 0.5000  4 Si 2.42
Th 0.0000 0.0000 0.0000  8 Si 3.23, 8 Tc 3.23

=====

(8)
SbRuC2N: PBEsol geometry, SCAN.

Properties
The calculation puts the total DFT energy (no corrections) at -87.93 eV for the cell shown. The uncorrected formation energy comes out at 2.730 eV/atom.

a = 3.6843 Å, b = 3.6843 Å, c = 4.2626 Å
α = 90.00°, β = 90.00°, γ = 90.00°
Last column: nearest neighbours and their distance in Å.
Atoms (fractional coordinates):
Sb 0.0000 0.0000 0.5000  2 N 2.13
C 0.0000 0.5000 0.0000  2 N 1.84
C 0.5000 0.0000 0.0000  2 N 1.84
N 0.0000 0.0000 0.0000  4 C 1.84
Ru 0.5000 0.5000 0.5000  4 Sb 2.61, 8 C 2.82

=====

(9)
LaYBe: PBEsol geometry, SCAN.

Properties
As for the formation energy: 0.771 eV per atom. The calculation puts the total DFT energy (no corrections) at -72.99 eV for the cell shown.

a = 4.7956 Å, b = 4.7956 Å, c = 4.7956 Å
α = 60.00°, β = 60.00°, γ = 60.00°
Last column: nearest neighbours and their distance in Å.
Atoms (fractional coordinates):
Y 0.2500 0.2500 0.2500  4 La 2.94, 4 Be 2.94
Be 0.0000 0.0000 0.0000  4 Y 2.94
La 0.5000 0.5000 0.5000  4 Y 2.94

=====

(10)
La2MgAl: PBEsol geometry, SCAN.

Properties
As for the formation energy: -0.174 eV per atom. The calculation puts the total DFT energy (no corrections) at -99.63 eV for the cell shown.

a = 4.6533 Å, b = 4.6533 Å, c = 5.9388 Å
α = 113.06°, β = 113.06°, γ = 90.00°
Last column: nearest neighbours and their distance in Å.
Atoms (fractional coordinates):
Al 0.2500 0.7500 0.5000  8 La 3.29-3.39, 4 Mg 3.39
La 0.0000 0.0000 0.0000  4 Mg 3.29, 4 La 3.39, 4 Al 3.39
La 0.7500 0.2500 0.5000  4 Al 3.29, 4 La 3.39, 4 Mg 3.39
Mg 0.5000 0.5000 0.0000  8 La 3.29-3.39, 4 Al 3.39

=====

(11)
GaAuIO2: PBEsol geometry, SCAN.

Properties
The calculation puts the total DFT energy (no corrections) at -132.90 eV for the cell shown. The uncorrected formation energy comes out at 0.361 eV/atom.

a = 4.0098 Å, b = 4.0098 Å, c = 6.5428 Å
α = 90.00°, β = 90.00°, γ = 90.00°
Last column: nearest neighbours and their distance in Å.
Atoms (fractional coordinates):
I 0.0000 0.0000 0.5000  4 Ga 2.84
Au 0.0000 0.0000 0.0000  4 O 2.00
O 0.0000 0.5000 0.0000  2 Au 2.00
O 0.5000 0.0000 0.0000  2 Au 2.00
Ga 0.5000 0.5000 0.5000  4 I 2.84

=====

(12)
In2NiPt: PBEsol geometry, SCAN.

Properties
As for the formation energy: -0.121 eV per atom. The calculation puts the total DFT energy (no corrections) at -153.62 eV for the cell shown.

a = 3.5483 Å, b = 3.5260 Å, c = 5.4815 Å
α = 90.00°, β = 90.00°, γ = 90.00°
Last column: nearest neighbours and their distance in Å.
Atoms (fractional coordinates):
In 0.0000 0.0000 0.9633  2 Ni 2.68-2.80, 4 Pt 2.72
In 0.5000 0.5000 0.2918  2 Pt 2.62-2.86, 4 Ni 2.69
Ni 0.0000 0.0000 0.4749  6 In 2.68-2.80, 4 Pt 2.98
Pt 0.5000 0.5000 0.7700  6 In 2.62-2.86